# Mg2UMnO6 | Alexandria via LeMat-Bulk | PBE with a Hubbard U | relaxed
# Total energy ... -234.8 eV per cell
# Spin magnetization ... 15.00 μB/cell
data_Mg2UMnO6
_chemical_formula_sum 'Mg6 U3 Mn3 O18'
_cell_length_a 5.3948
_cell_length_b 5.3948
_cell_length_c 14.5263
_cell_angle_alpha 90.00
_cell_angle_beta 90.00
_cell_angle_gamma 120.00
_space_group_name_H-M_alt 'R 3'
_space_group_IT_number 146
_space_group_name_Hall 'R 3'
loop_
_atom_site_label
_atom_site_type_symbol
_atom_site_fract_x
_atom_site_fract_y
_atom_site_fract_z
Mg1 Mg 0.0000 0.0000 0.0000
Mg2 Mg 0.0000 0.0000 0.4924
U1 U 0.0000 0.0000 0.6997
Mn1 Mn 0.0000 0.0000 0.2074
O1 O 0.0110 0.7101 0.6050
O2 O 0.0249 0.3572 0.7669